[1]
{"formula": "Sr2InAu", "functional": "PBE", "state": "relaxed", "lattice": [[-1.923, 2.745, 5.969], [1.923, -2.745, 5.969], [1.923, 2.745, -5.969]], "species": ["Sr", "Sr", "In", "Au"], "fractional_positions": [[0.000, 0.000, 0.000], [0.701, 0.201, 0.500], [0.411, 0.411, 0.000], [0.226, 0.726, 0.500]], "sg": "Imm2", "formation_enthalpy_0k_ev_per_atom": -0.4806, "magmom_total_mub_per_fu": 0.00, "dft_energy_ev_per_atom": -2.825, "crystal_system": "orthorhombic"}

[2]
{"formula": "Pm8Y6Tm", "functional": "PBE", "state": "relaxed", "lattice": [[4.574, 2.641, 6.965], [-4.574, 2.641, 6.965], [0.000, -5.281, 6.965]], "species": ["Pm", "Pm", "Pm", "Pm", "Pm", "Pm", "Pm", "Pm", "Y", "Y", "Y", "Y", "Y", "Y", "Tm"], "fractional_positions": [[0.077, 0.077, 0.077], [0.217, 0.612, 0.251], [0.251, 0.217, 0.612], [0.388, 0.749, 0.783], [0.612, 0.251, 0.217], [0.749, 0.783, 0.388], [0.783, 0.388, 0.749], [0.923, 0.923, 0.923], [0.040, 0.597, 0.745], [0.255, 0.960, 0.403], [0.403, 0.255, 0.960], [0.597, 0.745, 0.040], [0.745, 0.040, 0.597], [0.960, 0.403, 0.255], [0.500, 0.500, 0.500]], "sg": "R-3", "formation_enthalpy_0k_ev_per_atom": 0.1133, "magmom_total_mub_per_fu": 0.00, "dft_energy_ev_per_atom": -5.304, "e_above_lowest_polymorph_mev_per_atom": 0, "crystal_system": "trigonal"}

[3]
{"formula": "Li3Tb5Te8", "functional": "PBE", "state": "relaxed", "lattice": [[4.335, 2.503, 7.108], [-4.335, 2.503, 7.108], [0.000, -5.006, 7.108]], "species": ["Li", "Li", "Li", "Tb", "Tb", "Tb", "Tb", "Tb", "Te", "Te", "Te", "Te", "Te", "Te", "Te", "Te"], "fractional_positions": [[0.000, 0.500, 0.500], [0.500, 0.000, 0.500], [0.500, 0.500, 0.000], [0.000, 0.000, 0.000], [0.000, 0.000, 0.500], [0.000, 0.500, 0.000], [0.500, 0.000, 0.000], [0.500, 0.500, 0.500], [0.250, 0.250, 0.742], [0.250, 0.742, 0.250], [0.253, 0.253, 0.253], [0.258, 0.750, 0.750], [0.742, 0.250, 0.250], [0.747, 0.747, 0.747], [0.750, 0.258, 0.750], [0.750, 0.750, 0.258]], "sg": "R-3m", "magmom_total_mub_per_fu": 0.00, "dft_energy_ev_per_atom": -4.695, "raw_formation_energy_ev_per_atom": -1.319, "crystal_system": "trigonal"}

[4]
{"formula": "Yb5Pb3", "functional": "PBE", "state": "relaxed", "lattice": [[9.336, 0.000, 0.000], [-4.668, 8.085, 0.000], [0.000, 0.000, 6.783]], "species": ["Yb", "Yb", "Yb", "Yb", "Yb", "Yb", "Yb", "Yb", "Yb", "Yb", "Pb", "Pb", "Pb", "Pb", "Pb", "Pb"], "fractional_positions": [[0.000, 0.263, 0.250], [0.000, 0.737, 0.750], [0.263, 0.000, 0.250], [0.263, 0.263, 0.750], [0.333, 0.667, 0.000], [0.333, 0.667, 0.500], [0.667, 0.333, 0.000], [0.667, 0.333, 0.500], [0.737, 0.000, 0.750], [0.737, 0.737, 0.250], [0.000, 0.386, 0.750], [0.000, 0.614, 0.250], [0.386, 0.000, 0.750], [0.386, 0.386, 0.250], [0.614, 0.000, 0.250], [0.614, 0.614, 0.750]], "sg": "P6_3/mcm", "formation_enthalpy_0k_ev_per_atom": -0.5317, "magmom_total_mub_per_fu": 1.19, "dft_energy_ev_per_atom": -2.876, "crystal_system": "hexagonal"}

[5]
{"formula": "BeTl2Re", "functional": "PBE", "state": "relaxed", "lattice": [[0.000, 3.343, 3.343], [3.343, 0.000, 3.343], [3.343, 3.343, 0.000]], "species": ["Be", "Tl", "Tl", "Re"], "fractional_positions": [[0.000, 0.000, 0.000], [0.250, 0.250, 0.250], [0.750, 0.750, 0.750], [0.500, 0.500, 0.500]], "sg": "Fm-3m", "formation_enthalpy_0k_ev_per_atom": 1.2712, "magmom_total_mub_per_fu": 0.00, "dft_energy_ev_per_atom": -3.956, "e_above_lowest_polymorph_mev_per_atom": 680, "crystal_system": "cubic"}

[6]
{"formula": "PrAg2BO4", "functional": "PBE", "state": "relaxed", "lattice": [[-2.944, 2.944, 2.962], [2.944, -2.944, 2.962], [2.944, 2.944, -2.962]], "species": ["Pr", "Ag", "Ag", "B", "O", "O", "O", "O"], "fractional_positions": [[0.000, 0.000, 0.000], [0.250, 0.750, 0.500], [0.750, 0.250, 0.500], [0.500, 0.500, 0.000], [0.205, 0.500, 0.000], [0.500, 0.205, 0.000], [0.500, 0.500, 0.705], [0.795, 0.795, 0.295]], "sg": "I-42m", "magmom_total_mub_per_fu": 0.00, "dft_energy_ev_per_atom": -6.298, "raw_formation_energy_ev_per_atom": -1.674, "crystal_system": "tetragonal"}

[7]
{"formula": "PuZnAsN", "functional": "PBE", "state": "relaxed", "lattice": [[1.975, 1.140, 10.392], [-1.975, 1.140, 10.392], [0.000, -2.280, 10.392]], "species": ["Pu", "Pu", "Zn", "Zn", "As", "As", "N", "N"], "fractional_positions": [[0.123, 0.123, 0.123], [0.877, 0.877, 0.877], [0.306, 0.306, 0.306], [0.694, 0.694, 0.694], [0.391, 0.391, 0.391], [0.609, 0.609, 0.609], [0.193, 0.193, 0.193], [0.807, 0.807, 0.807]], "sg": "R-3m", "magmom_total_mub_per_fu": 4.01, "dft_energy_ev_per_atom": -7.942, "raw_formation_energy_ev_per_atom": -0.796, "crystal_system": "trigonal"}

[8]
{"formula": "MgInPd6", "functional": "PBE", "state": "relaxed", "lattice": [[5.121, 0.000, 0.000], [-0.432, 5.124, 0.000], [-0.419, -0.432, 5.118]], "species": ["Mg", "In", "Pd", "Pd", "Pd", "Pd", "Pd", "Pd"], "fractional_positions": [[0.000, 0.000, 0.000], [0.500, 0.500, 0.500], [0.042, 0.449, 0.750], [0.250, 0.955, 0.553], [0.450, 0.750, 0.043], [0.550, 0.250, 0.957], [0.750, 0.045, 0.447], [0.958, 0.551, 0.250]], "sg": "P-1", "formation_enthalpy_0k_ev_per_atom": -0.3474, "magmom_total_mub_per_fu": 0.00, "dft_energy_ev_per_atom": -4.784, "e_above_lowest_polymorph_mev_per_atom": 98, "crystal_system": "triclinic"}

[9]
{"formula": "Y2Ga3Ni4Pt", "functional": "PBE", "state": "relaxed", "lattice": [[3.872, 0.000, 0.000], [0.000, 3.872, 0.000], [0.000, 0.000, 10.932]], "species": ["Y", "Y", "Ga", "Ga", "Ga", "Ni", "Ni", "Ni", "Ni", "Pt"], "fractional_positions": [[0.000, 0.500, 0.242], [0.500, 0.000, 0.758], [0.000, 0.000, 0.000], [0.000, 0.500, 0.630], [0.500, 0.000, 0.370], [0.000, 0.000, 0.500], [0.000, 0.500, 0.847], [0.500, 0.000, 0.153], [0.500, 0.500, 0.500], [0.500, 0.500, 0.000]], "sg": "P-4m2", "formation_enthalpy_0k_ev_per_atom": -0.5895, "magmom_total_mub_per_fu": 0.00, "dft_energy_ev_per_atom": -5.707, "crystal_system": "tetragonal"}

[10]
{"formula": "TiNiOs", "functional": "PBE", "state": "relaxed", "lattice": [[2.361, -4.170, 0.000], [2.361, 4.170, 0.000], [-1.917, 0.000, 4.243]], "species": ["Ti", "Ti", "Ni", "Ni", "Os", "Os"], "fractional_positions": [[0.114, 0.886, 0.750], [0.886, 0.114, 0.250], [0.252, 0.748, 0.250], [0.748, 0.252, 0.750], [0.433, 0.567, 0.750], [0.567, 0.433, 0.250]], "sg": "C2/c", "formation_enthalpy_0k_ev_per_atom": -0.2633, "magmom_total_mub_per_fu": 0.00, "dft_energy_ev_per_atom": -8.565, "e_above_lowest_polymorph_mev_per_atom": 171, "crystal_system": "monoclinic"}

[11]
{"formula": "Sm2MgNi", "functional": "PBE", "state": "relaxed", "lattice": [[5.082, 0.000, 0.000], [0.000, 5.082, 0.000], [0.000, 0.000, 3.737]], "species": ["Sm", "Sm", "Mg", "Ni"], "fractional_positions": [[0.000, 0.500, 0.000], [0.500, 0.000, 0.000], [0.000, 0.000, 0.500], [0.500, 0.500, 0.500]], "sg": "P4/mmm", "formation_enthalpy_0k_ev_per_atom": -0.0807, "magmom_total_mub_per_fu": 0.00, "dft_energy_ev_per_atom": -4.284, "e_above_lowest_polymorph_mev_per_atom": 110, "crystal_system": "tetragonal"}

[12]
{"formula": "Tb2Nd6Tm", "functional": "PBE", "state": "relaxed", "lattice": [[8.247, -5.927, 0.000], [8.247, 5.927, 0.000], [-0.670, 0.000, 6.222]], "species": ["Tb", "Tb", "Tb", "Tb", "Nd", "Nd", "Nd", "Nd", "Nd", "Nd", "Nd", "Nd", "Nd", "Nd", "Nd", "Nd", "Tm", "Tm"], "fractional_positions": [[0.068, 0.267, 0.081], [0.267, 0.068, 0.581], [0.733, 0.932, 0.419], [0.932, 0.733, 0.919], [0.093, 0.812, 0.486], [0.147, 0.427, 0.652], [0.188, 0.907, 0.014], [0.242, 0.523, 0.180], [0.427, 0.147, 0.152], [0.477, 0.758, 0.320], [0.523, 0.242, 0.680], [0.573, 0.853, 0.848], [0.758, 0.477, 0.820], [0.812, 0.093, 0.986], [0.853, 0.573, 0.348], [0.907, 0.188, 0.514], [0.400, 0.600, 0.750], [0.600, 0.400, 0.250]], "sg": "C2/c", "formation_enthalpy_0k_ev_per_atom": 0.0824, "magmom_total_mub_per_fu": 0.00, "dft_energy_ev_per_atom": -4.622, "e_above_lowest_polymorph_mev_per_atom": 0, "crystal_system": "monoclinic"}